[1]
First-principles (PBE) data for crystalline PrCu4Te3O12 at its relaxed geometry, as listed in Alexandria via LeMat-Bulk.

The space group is R32 (No. 155, hexagonal axes) and the conventional cell measures 11.0876, 11.0876 and 7.7086 Å, with angles of 90.00, 90.00 and 120.00 degrees. The inequivalent atoms are Pr at (0.0000, 0.0000, 0.0000), Cu at (0.0000, 0.0000, 0.5000), Cu at (0.0000, 0.3987, 0.5000), Te at (0.0000, 0.5668, 0.0000), O at (0.0000, 0.5986, 0.5000), O at (0.0000, 0.8290, 0.5000) and O at (0.0595, 0.2032, 0.1989).

As for the total energy: -5.52 eV per atom.

***

[2]
First-principles (PBE) data for crystalline ZrBe2MoI at its relaxed geometry, as listed in Alexandria via LeMat-Bulk.

The space group is P4/mmm (No. 123) and the conventional cell measures 4.312, 4.312 and 5.165 Å, with angles of 90.00, 90.00 and 90.00 degrees. The inequivalent atoms are Zr at (0.000, 0.000, 0.000), Be at (0.000, 0.500, 0.500), Mo at (0.500, 0.500, 0.500) and I at (0.500, 0.500, 0.000).

For the energy relative to the lowest polymorph listed for this composition, the calculation gives 0 meV/atom.

***

[3]
First-principles (PBE) data for crystalline Fe2SnB at its relaxed geometry, as listed in Alexandria via LeMat-Bulk.

The space group is Fm-3m (No. 225) and the conventional cell measures 5.721, 5.721 and 5.721 Å, with angles of 90.00, 90.00 and 90.00 degrees. The inequivalent atoms are Fe at (0.250, 0.250, 0.250), Sn at (0.000, 0.000, 0.000) and B at (0.000, 0.000, 0.500).

The energy relative to the elements is 0.6476 eV per atom. For the energy relative to the lowest polymorph listed for this composition, the calculation gives 49 meV/atom.

***

[4]
First-principles (PBE) data for crystalline NaAc2DyTe4 at its relaxed geometry, as listed in Alexandria via LeMat-Bulk.

The space group is P2/m (No. 10) and the conventional cell measures 7.890, 4.589 and 8.024 Å, with angles of 90.00, 109.39 and 90.00 degrees. The inequivalent atoms are Na at (0.000, 0.000, 0.000), Ac at (0.500, 0.000, 0.500), Ac at (0.500, 0.500, 0.000), Dy at (0.000, 0.500, 0.500), Te at (0.226, 0.000, 0.740) and Te at (0.230, 0.500, 0.248).

As for the total energy: -4.72 eV per atom.

***

[5]
First-principles (PBE) data for crystalline LiAc2CO6 at its relaxed geometry, as listed in Alexandria via LeMat-Bulk.

The space group is P2_1/c (No. 14) and the conventional cell measures 7.313, 4.952 and 11.943 Å, with angles of 90.00, 125.98 and 90.00 degrees. The inequivalent atoms are Li at (0.000, 0.000, 0.000), Ac at (0.160, 0.012, 0.718), C at (0.500, 0.000, 0.500), O at (0.104, 0.518, 0.723), O at (0.142, 0.643, 0.016) and O at (0.467, 0.230, 0.507).

As for the total energy: -6.98 eV per atom.

***

[6]
First-principles (PBE) data for crystalline RbNa2Ta at its relaxed geometry, as listed in Alexandria via LeMat-Bulk.

The space group is I-42d (No. 122) and the conventional cell measures 9.383, 9.383 and 7.260 Å, with angles of 90.00, 90.00 and 90.00 degrees. The inequivalent atoms are Rb at (0.000, 0.000, 0.000), Na at (0.217, 0.250, 0.625) and Ta at (0.000, 0.000, 0.500).

The energy relative to the elements is 1.4751 eV per atom. For the energy relative to the lowest polymorph listed for this composition, the calculation gives 111 meV/atom.

***

[7]
First-principles (PBE) data for crystalline CsTl3Hg4I12 at its relaxed geometry, as listed in Alexandria via LeMat-Bulk.

The space group is R32 (No. 155, hexagonal axes) and the conventional cell measures 17.1226, 17.1226 and 13.8725 Å, with angles of 90.00, 90.00 and 120.00 degrees. The inequivalent atoms are Cs at (0.0000, 0.0000, 0.0000), Tl at (0.0000, 0.5426, 0.0000), Hg at (0.0000, 0.0000, 0.5000), Hg at (0.0000, 0.4486, 0.5000), I at (0.0000, 0.6108, 0.5000), I at (0.0000, 0.8391, 0.5000) and I at (0.0423, 0.2117, 0.1595).

As for the total energy: -1.89 eV per atom.

***

[8]
First-principles (PBE) data for crystalline SrLa2Cu at its relaxed geometry, as listed in Alexandria via LeMat-Bulk.

The space group is I-4m2 (No. 119) and the conventional cell measures 4.861, 4.861 and 10.765 Å, with angles of 90.00, 90.00 and 90.00 degrees. The inequivalent atoms are Sr at (0.000, 0.000, 0.000), La at (0.000, 0.000, 0.500), La at (0.000, 0.500, 0.250) and Cu at (0.000, 0.500, 0.750).

The energy relative to the elements is 0.3067 eV per atom. For the energy relative to the lowest polymorph listed for this composition, the calculation gives 304 meV/atom.

***

[9]
First-principles (PBE) data for crystalline CdHgBiRh2 at its relaxed geometry, as listed in Alexandria via LeMat-Bulk.

The space group is P4/mmm (No. 123) and the conventional cell measures 5.054, 5.054 and 5.037 Å, with angles of 90.00, 90.00 and 90.00 degrees. The inequivalent atoms are Cd at (0.000, 0.000, 0.000), Hg at (0.000, 0.000, 0.500), Bi at (0.500, 0.500, 0.000) and Rh at (0.000, 0.500, 0.500).

The energy relative to the elements is 0.9805 eV per atom.

***

[10]
First-principles (PBE) data for crystalline HfNbCu at its relaxed geometry, as listed in Alexandria via LeMat-Bulk.

The space group is Cmmm (No. 65) and the conventional cell measures 4.526, 14.547 and 3.190 Å, with angles of 90.00, 90.00 and 90.00 degrees. The inequivalent atoms are Hf at (0.000, 0.171, 0.000), Nb at (0.000, 0.000, 0.500), Nb at (0.000, 0.500, 0.000) and Cu at (0.000, 0.343, 0.500).

The energy relative to the elements is -0.0354 eV per atom. For the energy relative to the lowest polymorph listed for this composition, the calculation gives 85 meV/atom.

***

[11]
First-principles (PBE) data for crystalline Os2PtSe at its relaxed geometry, as listed in Alexandria via LeMat-Bulk.

The space group is Imm2 (No. 44) and the conventional cell measures 2.771, 4.582 and 10.272 Å, with angles of 90.00, 90.00 and 90.00 degrees. The inequivalent atoms are Os at (0.000, 0.000, 0.000), Os at (0.000, 0.500, 0.294), Pt at (0.000, 0.500, 0.752) and Se at (0.000, 0.000, 0.556).

As for the total energy: -7.38 eV per atom.

***

[12]
First-principles (PBE) data for crystalline B at its relaxed geometry, as listed in Alexandria via LeMat-Bulk.

The space group is Fddd (No. 70, origin choice 2) and the conventional cell measures 3.802, 5.909 and 11.039 Å, with angles of 90.00, 90.00 and 90.00 degrees. The inequivalent atoms are B at (0.125, 0.125, 0.254) and B at (0.125, 0.294, 0.125).

The energy relative to the elements is 0.3254 eV per atom. For the energy relative to the lowest polymorph listed for this composition, the calculation gives 325 meV/atom.

***

[13]
First-principles (PBE) data for crystalline La6Ru2I3Br at its relaxed geometry, as listed in Alexandria via LeMat-Bulk.

The space group is C2/m (No. 12) and the conventional cell measures 7.489, 12.965 and 8.572 Å, with angles of 90.00, 106.67 and 90.00 degrees. The inequivalent atoms are La at (0.198, 0.000, 0.192), La at (0.249, 0.317, 0.193), Ru at (0.000, 0.167, 0.000), I at (0.000, 0.000, 0.500), I at (0.000, 0.339, 0.500) and Br at (0.000, 0.500, 0.000).

As for the total energy: -5.49 eV per atom.

***

[14]
First-principles (PBE) data for crystalline Cs2HoCdI6 at its relaxed geometry, as listed in Alexandria via LeMat-Bulk.

The space group is Pmmn (No. 59, origin choice 2) and the conventional cell measures 8.823, 12.467 and 8.818 Å, with angles of 90.00, 90.00 and 90.00 degrees. The inequivalent atoms are Cs at (0.250, 0.000, 0.249), Ho at (0.250, 0.250, 0.751), Cd at (0.250, 0.750, 0.749), I at (0.008, 0.250, 0.508), I at (0.008, 0.250, 0.993) and I at (0.250, 0.007, 0.751).

As for the total energy: -2.85 eV per atom.

***

[15]
First-principles (PBE) data for crystalline Cs2Mg3H8 at its relaxed geometry, as listed in Alexandria via LeMat-Bulk.

The space group is C2/m (No. 12) and the conventional cell measures 13.722, 6.307 and 5.306 Å, with angles of 90.00, 109.01 and 90.00 degrees. The inequivalent atoms are Cs at (0.220, 0.000, 0.174), Mg at (0.000, 0.243, 0.500), Mg at (0.000, 0.500, 0.000), H at (0.076, 0.291, 0.872), H at (0.081, 0.500, 0.402) and H at (0.094, 0.000, 0.503).

As for the total energy: -2.78 eV per atom.

***

[16]
First-principles (PBE) data for crystalline CdHPd3 at its relaxed geometry, as listed in Alexandria via LeMat-Bulk.

The space group is P4mm (No. 99) and the conventional cell measures 3.803, 3.803 and 6.684 Å, with angles of 90.00, 90.00 and 90.00 degrees. The inequivalent atoms are Cd at (0.000, 0.000, 0.000), H at (0.500, 0.500, 0.310), Pd at (0.000, 0.000, 0.607) and Pd at (0.000, 0.500, 0.312).

For the energy relative to the lowest polymorph listed for this composition, the calculation gives 505 meV/atom.

***

[17]
First-principles (PBE) data for crystalline TiZnBi3 at its relaxed geometry, as listed in Alexandria via LeMat-Bulk.

The space group is Pm-3m (No. 221) and the conventional cell measures 5.409, 5.409 and 5.409 Å, with angles of 90.00, 90.00 and 90.00 degrees. The inequivalent atoms are Ti at (0.000, 0.000, 0.000), Zn at (0.500, 0.500, 0.500) and Bi at (0.000, 0.000, 0.500).

The energy relative to the elements is 0.3004 eV per atom. For the energy relative to the lowest polymorph listed for this composition, the calculation gives 0 meV/atom.

***

[18]
First-principles (PBE) data for crystalline Tc2MoW at its relaxed geometry, as listed in Alexandria via LeMat-Bulk.

The space group is Imm2 (No. 44) and the conventional cell measures 3.136, 4.419 and 8.883 Å, with angles of 90.00, 90.00 and 90.00 degrees. The inequivalent atoms are Tc at (0.000, 0.000, 0.000), Tc at (0.000, 0.500, 0.235), Mo at (0.000, 0.500, 0.752) and W at (0.000, 0.000, 0.491).

The energy relative to the elements is 0.0679 eV per atom. For the energy relative to the lowest polymorph listed for this composition, the calculation gives 0 meV/atom.

***

[19]
First-principles (PBE) data for crystalline HoTm2Ga2 at its relaxed geometry, as listed in Alexandria via LeMat-Bulk.

The space group is P4/mbm (No. 127) and the conventional cell measures 7.608, 7.608 and 4.227 Å, with angles of 90.00, 90.00 and 90.00 degrees. The inequivalent atoms are Ho at (0.000, 0.000, 0.000), Tm at (0.174, 0.326, 0.500) and Ga at (0.120, 0.620, 0.000).

The energy relative to the elements is -0.5087 eV per atom. For the energy relative to the lowest polymorph listed for this composition, the calculation gives 0 meV/atom.

***

[20]
First-principles (PBE) data for crystalline BaYSn at its relaxed geometry, as listed in Alexandria via LeMat-Bulk.

The space group is P4/nmm (No. 129, origin choice 2) and the conventional cell measures 5.060, 5.060 and 8.869 Å, with angles of 90.00, 90.00 and 90.00 degrees. The inequivalent atoms are Ba at (0.250, 0.250, 0.147), Y at (0.250, 0.750, 0.500) and Sn at (0.250, 0.250, 0.724).

The energy relative to the elements is -0.5921 eV per atom.

***

[21]
First-principles (PBE) data for crystalline Mg3InCl at its relaxed geometry, as listed in Alexandria via LeMat-Bulk.

The space group is Pm-3m (No. 221) and the conventional cell measures 5.037, 5.037 and 5.037 Å, with angles of 90.00, 90.00 and 90.00 degrees. The inequivalent atoms are Mg at (0.000, 0.000, 0.500), In at (0.500, 0.500, 0.500) and Cl at (0.000, 0.000, 0.000).

For the energy relative to the lowest polymorph listed for this composition, the calculation gives 139 meV/atom.

***

[22]
First-principles (PBE) data for crystalline ZrAgAu2 at its relaxed geometry, as listed in Alexandria via LeMat-Bulk.

The space group is R-3m (No. 166, hexagonal axes) and the conventional cell measures 3.1130, 3.1130 and 27.8254 Å, with angles of 90.00, 90.00 and 120.00 degrees. The inequivalent atoms are Zr at (0.0000, 0.0000, 0.0000), Ag at (0.0000, 0.0000, 0.5000) and Au at (0.0000, 0.0000, 0.2497).

The energy relative to the elements is -0.1629 eV per atom. For the energy relative to the lowest polymorph listed for this composition, the calculation gives 232 meV/atom.

***

Ordered magnetic moment results: 0.0; 0.0; 0.9; 0.0; 2.0; 16.5; 0.0; 0.0; 0.4; 0.0; 0.0; 0.0; 0.0; 0.0; 0.0; 0.0; 0.0; 0.0; 0.0; 2.0; 0.0; 0.0; unit Bohr magnetons per cell.